CrReO4 | Alexandria | PBE with a Hubbard U | optimized geometry; space group = I4_1md (109); calculated volume = 132 Å³/cell; total DFT energy (no corrections) = -8.27 eV per atom; DOS at the Fermi energy = 3.6 states/eV/cell
1.0
5.2985 0.0450 -1.6804
-2.8272 4.4815 -1.6804
-0.0246 -0.0450 5.5586
Cr Re O
2 2 8
Cartesian
0.6299 1.1538 -0.8567
-1.4138 2.2404 1.9226
1.8463 3.3815 -2.5108
-0.1974 4.4682 0.2685
-1.3415 4.2362 1.8243
2.6706 1.9757 1.8934
2.2697 2.2938 -0.9550
-1.8012 4.4464 -0.8859
0.2104 2.2488 3.1073
1.3825 4.4464 1.4553
3.8008 0.2174 0.3564
-0.2412 2.5246 0.3280